InTcCl4 | PBE-GGA | relaxed

As for the uncorrected formation energy: 0.730 eV per atom.

The space group is F-43m (No. 216) and the conventional cell measures 8.457, 8.457 and 8.457 Å, with angles of 90.00, 90.00 and 90.00 degrees. The distinct sites, in fractional coordinates, are In at (0.000, 0.000, 0.000), Tc at (0.250, 0.250, 0.750) and Cl at (0.124, 0.124, 0.376).


In2TcCl | PBE-GGA | relaxed

For the energy relative to the lowest polymorph listed for this composition, the calculation gives 159 meV/atom. As for the uncorrected formation energy: 0.110 eV per atom.

The space group is R3m (No. 160, hexagonal axes) and the conventional cell measures 3.2458, 3.2458 and 30.2015 Å, with angles of 90.00, 90.00 and 120.00 degrees. The distinct sites, in fractional coordinates, are In at (0.0000, 0.0000, 0.0000), In at (0.0000, 0.0000, 0.2451), Tc at (0.0000, 0.0000, 0.5058) and Cl at (0.0000, 0.0000, 0.7906).


In2TcCl | PBE-GGA | relaxed

For the energy relative to the lowest polymorph listed for this composition, the calculation gives 368 meV/atom. As for the uncorrected formation energy: 0.319 eV per atom.

The space group is Immm (No. 71) and the conventional cell measures 2.972, 4.372 and 13.700 Å, with angles of 90.00, 90.00 and 90.00 degrees. The distinct sites, in fractional coordinates, are In at (0.000, 0.000, 0.181), Tc at (0.000, 0.500, 0.500) and Cl at (0.000, 0.500, 0.000).


In3TcCl | PBE-GGA | relaxed

For the energy relative to the lowest polymorph listed for this composition, the calculation gives 0 meV/atom. As for the uncorrected formation energy: 0.118 eV per atom.

The space group is Pm-3m (No. 221) and the conventional cell measures 5.258, 5.258 and 5.258 Å, with angles of 90.00, 90.00 and 90.00 degrees. The distinct sites, in fractional coordinates, are In at (0.000, 0.000, 0.500), Tc at (0.000, 0.000, 0.000) and Cl at (0.500, 0.500, 0.500).


In2TcCl | PBE-GGA | relaxed

For the energy relative to the lowest polymorph listed for this composition, the calculation gives 626 meV/atom. As for the uncorrected formation energy: 0.577 eV per atom.

The space group is Fm-3m (No. 225) and the conventional cell measures 7.103, 7.103 and 7.103 Å, with angles of 90.00, 90.00 and 90.00 degrees. The distinct sites, in fractional coordinates, are In at (0.250, 0.250, 0.250), Tc at (0.000, 0.000, 0.000) and Cl at (0.000, 0.000, 0.500).


In2TcCl | PBE-GGA | relaxed

For the energy relative to the lowest polymorph listed for this composition, the calculation gives 549 meV/atom. As for the uncorrected formation energy: 0.500 eV per atom.

The space group is I-42d (No. 122) and the conventional cell measures 7.570, 7.570 and 6.611 Å, with angles of 90.00, 90.00 and 90.00 degrees. The distinct sites, in fractional coordinates, are In at (0.235, 0.250, 0.125), Tc at (0.000, 0.000, 0.000) and Cl at (0.000, 0.000, 0.500).